Entry A
Compound: LiRuAu3
Source: the Alexandria database
Functional: PBE
Structure: optimized geometry

Its total magnetization is 0.341 μB/atom.

The structure belongs to space group Pm-3m (No. 221); the cell edges are 4.394, 4.394 and 4.394 Å and the angles 90.00°, 90.00° and 90.00°. Symmetry generates all atoms from Li at (0.000, 0.000, 0.000), Ru at (0.500, 0.500, 0.500) and Au at (0.000, 0.000, 0.500).

Entry B
Compound: LiRuAu3
Source: the Alexandria database
Functional: PBE
Structure: optimized geometry

Its total magnetization is 0.451 μB/atom.

The structure belongs to space group Pm-3m (No. 221); the cell edges are 5.076, 5.076 and 5.076 Å and the angles 90.00°, 90.00° and 90.00°. Symmetry generates all atoms from Li at (0.000, 0.000, 0.000), Ru at (0.500, 0.500, 0.500) and Au at (0.000, 0.500, 0.500).

The structure with the least stability is entry B.

Entry A
Compound: LiRuAu
Source: the Alexandria database
Functional: PBE
Structure: optimized geometry

Its total magnetization is 0.000 μB/atom.

The structure belongs to space group P3m1 (No. 156); the cell edges are 2.7395, 2.7395 and 7.0242 Å and the angles 90.00°, 90.00° and 120.00°. Symmetry generates all atoms from Li at (0.0000, 0.0000, 0.0000), Ru at (0.3333, 0.6667, 0.3173) and Au at (0.6667, 0.3333, 0.6755).

Entry B
Compound: LiRuAu
Source: the Alexandria database
Functional: PBE
Structure: optimized geometry

Its total magnetization is 0.231 μB/atom.

The structure belongs to space group Imm2 (No. 44); the cell edges are 2.643, 4.142 and 8.295 Å and the angles 90.00°, 90.00° and 90.00°. Symmetry generates all atoms from Li at (0.000, 0.000, 0.000), Ru at (0.000, 0.000, 0.332) and Au at (0.000, 0.000, 0.665).

Entry C
Compound: LiRuAu
Source: the Alexandria database
Functional: PBE
Structure: optimized geometry

Its total magnetization is 0.000 μB/atom.

The structure belongs to space group I4mm (No. 107); the cell edges are 2.669, 2.669 and 12.748 Å and the angles 90.00°, 90.00° and 90.00°. Symmetry generates all atoms from Li at (0.000, 0.000, 0.000), Ru at (0.000, 0.000, 0.338) and Au at (0.000, 0.000, 0.663).

Entry D
Compound: LiRuAu
Source: the Alexandria database
Functional: PBE
Structure: optimized geometry

Its total magnetization is 0.000 μB/atom.

The structure belongs to space group Fmm2 (No. 42); the cell edges are 2.920, 4.517 and 13.914 Å and the angles 90.00°, 90.00° and 90.00°. Symmetry generates all atoms from Li at (0.000, 0.000, 0.000), Ru at (0.000, 0.000, 0.658) and Au at (0.000, 0.000, 0.338).

The structure with the least stability is entry B.

Entry A
Compound: LiAuS3
Source: the Alexandria database
Functional: PBE
Structure: optimized geometry

Its total magnetization is 0.000 μB/atom.

The structure belongs to space group P2_1 (No. 4); the cell edges are 4.981, 5.760 and 8.293 Å and the angles 90.00°, 91.44° and 90.00°. Symmetry generates all atoms from Li at (0.029, 0.000, 0.362), Au at (0.481, 0.024, 0.003), S at (0.028, 0.030, 0.662), S at (0.423, 0.968, 0.724) and S at (0.466, 0.594, 0.723).

Entry B
Compound: LiAuS3
Source: the Alexandria database
Functional: PBE
Structure: optimized geometry

Its total magnetization is 0.000 μB/atom.

The structure belongs to space group Pm-3m (No. 221); the cell edges are 4.882, 4.882 and 4.882 Å and the angles 90.00°, 90.00° and 90.00°. Symmetry generates all atoms from Li at (0.000, 0.000, 0.000), Au at (0.500, 0.500, 0.500) and S at (0.000, 0.500, 0.500).

The structure with the least stability is entry B.

Entry A
Compound: LiAu3S
Source: the Alexandria database
Functional: PBE
Structure: optimized geometry

Its total magnetization is 0.000 μB/atom.

The structure belongs to space group Pm-3m (No. 221); the cell edges are 4.876, 4.876 and 4.876 Å and the angles 90.00°, 90.00° and 90.00°. Symmetry generates all atoms from Li at (0.000, 0.000, 0.000), Au at (0.000, 0.500, 0.500) and S at (0.500, 0.500, 0.500).

Entry B
Compound: LiAu3S
Source: the Alexandria database
Functional: PBE
Structure: optimized geometry

Its total magnetization is 0.000 μB/atom.

The structure belongs to space group Pm-3m (No. 221); the cell edges are 4.507, 4.507 and 4.507 Å and the angles 90.00°, 90.00° and 90.00°. Symmetry generates all atoms from Li at (0.000, 0.000, 0.000), Au at (0.000, 0.000, 0.500) and S at (0.500, 0.500, 0.500).

The structure with the least stability is entry B.

Entry A
Compound: Li2AuS2
Source: the Alexandria database
Functional: PBE
Structure: optimized geometry

Its total magnetization is 0.000 μB/atom.

The structure belongs to space group P4/mbm (No. 127); the cell edges are 6.790, 6.790 and 3.664 Å and the angles 90.00°, 90.00° and 90.00°. Symmetry generates all atoms from Li at (0.143, 0.357, 0.000), Au at (0.000, 0.000, 0.500) and S at (0.172, 0.672, 0.500).

Entry B
Compound: Li2AuS2
Source: the Alexandria database
Functional: PBE
Structure: optimized geometry

Its total magnetization is 0.000 μB/atom.

The structure belongs to space group I4/mmm (No. 139); the cell edges are 4.891, 4.891 and 10.700 Å and the angles 90.00°, 90.00° and 90.00°. Symmetry generates all atoms from Li at (0.000, 0.500, 0.250), Au at (0.000, 0.000, 0.000) and S at (0.000, 0.000, 0.212).

The structure with the least stability is entry A.

Entry A
Compound: LiSb2Au
Source: the Alexandria database
Functional: PBE
Structure: optimized geometry

Its total magnetization is 0.000 μB/atom.

The structure belongs to space group Pm (No. 6); the cell edges are 3.360, 5.884 and 4.702 Å and the angles 90.00°, 90.01° and 90.00°. Symmetry generates all atoms from Li at (0.000, 0.000, 0.000), Sb at (0.495, 0.500, 0.311), Sb at (0.501, 0.000, 0.506) and Au at (0.994, 0.500, 0.819).

Entry B
Compound: LiSb2Au
Source: the Alexandria database
Functional: PBE
Structure: optimized geometry

Its total magnetization is 0.000 μB/atom.

The structure belongs to space group P4/mmm (No. 123); the cell edges are 3.261, 3.261 and 8.300 Å and the angles 90.00°, 90.00° and 90.00°. Symmetry generates all atoms from Li at (0.000, 0.000, 0.000), Sb at (0.500, 0.500, 0.243) and Au at (0.000, 0.000, 0.500).

The structure with the least stability is entry B.

Entry A
Compound: LiSb2Au
Source: the Alexandria database
Functional: PBE
Structure: optimized geometry

Its total magnetization is 0.000 μB/atom.

The structure belongs to space group Fm-3m (No. 225); the cell edges are 7.102, 7.102 and 7.102 Å and the angles 90.00°, 90.00° and 90.00°. Symmetry generates all atoms from Li at (0.000, 0.000, 0.000), Sb at (0.250, 0.250, 0.250) and Au at (0.000, 0.000, 0.500).

Entry B
Compound: LiSb2Au
Source: the Alexandria database
Functional: PBE
Structure: optimized geometry

Its total magnetization is 0.000 μB/atom.

The structure belongs to space group P4/mmm (No. 123); the cell edges are 4.570, 4.570 and 4.204 Å and the angles 90.00°, 90.00° and 90.00°. Symmetry generates all atoms from Li at (0.000, 0.000, 0.000), Sb at (0.000, 0.500, 0.500) and Au at (0.500, 0.500, 0.000).

Entry C
Compound: LiSb2Au
Source: the Alexandria database
Functional: PBE
Structure: optimized geometry

Its total magnetization is 0.000 μB/atom.

The structure belongs to space group R-3m (No. 166, hexagonal axes); the cell edges are 3.5323, 3.5323 and 25.4847 Å and the angles 90.00°, 90.00° and 120.00°. Symmetry generates all atoms from Li at (0.0000, 0.0000, 0.0000), Sb at (0.0000, 0.0000, 0.2468) and Au at (0.0000, 0.0000, 0.5000).

Entry D
Compound: LiSb2Au
Source: the Alexandria database
Functional: PBE
Structure: optimized geometry

Its total magnetization is 0.000 μB/atom.

The structure belongs to space group P4/mmm (No. 123); the cell edges are 3.850, 3.850 and 6.107 Å and the angles 90.00°, 90.00° and 90.00°. Symmetry generates all atoms from Li at (0.000, 0.000, 0.000), Sb at (0.500, 0.500, 0.263) and Au at (0.000, 0.000, 0.500).

The structure with the least stability is entry A.

Entry A
Compound: LiSb2Au
Source: the Alexandria database
Functional: PBE
Structure: optimized geometry

Its total magnetization is 0.000 μB/atom.

The structure belongs to space group F-43m (No. 216); the cell edges are 7.167, 7.167 and 7.167 Å and the angles 90.00°, 90.00° and 90.00°. Symmetry generates all atoms from Li at (0.000, 0.000, 0.000), Sb at (0.000, 0.000, 0.500), Sb at (0.250, 0.250, 0.750) and Au at (0.250, 0.250, 0.250).

Entry B
Compound: LiSb2Au
Source: the Alexandria database
Functional: PBE
Structure: optimized geometry

Its total magnetization is 0.000 μB/atom.

The structure belongs to space group P1 (No. 1); the cell edges are 3.288, 7.138 and 8.886 Å and the angles 109.79°, 100.36° and 93.79°. Symmetry generates all atoms from Li at (0.000, 0.000, 0.000), Li at (0.141, 0.735, 0.322), Sb at (0.574, 0.370, 0.147), Sb at (0.665, 0.106, 0.343), Sb at (0.800, 0.821, 0.618), Sb at (0.832, 0.533, 0.794), Au at (0.450, 0.140, 0.819) and Au at (0.501, 0.748, 0.072).

The structure with the least stability is entry A.